(1)
# PBE Ca2UMnS6, optimized geometry
# - V (Å³/f.u.) = 221
# - ΔE_f (raw) (eV per atom) = -1.3147
data_Ca2UMnS6
_cell_length_a 6.7158
_cell_length_b 6.7158
_cell_length_c 16.9507
_cell_angle_alpha 90.00
_cell_angle_beta 90.00
_cell_angle_gamma 120.00
_symmetry_space_group_name_H-M 'R 3'
_symmetry_Int_Tables_number 146
_symmetry_space_group_name_Hall 'R 3'
loop_
_atom_site_label
_atom_site_type_symbol
_atom_site_fract_x
_atom_site_fract_y
_atom_site_fract_z
Ca1 Ca 0.0000 0.0000 0.0000
Ca2 Ca 0.0000 0.0000 0.4967
U1 U 0.0000 0.0000 0.7849
Mn1 Mn 0.0000 0.0000 0.2853
S1 S 0.0233 0.6020 0.0332
S2 S 0.0827 0.3473 0.8753

=====

(2)
# PBE LiY2Si, optimized geometry
# - V (Å³/f.u.) = 92
# - ΔE_f (raw) (eV per atom) = -0.1076
data_LiY2Si
_cell_length_a 3.362
_cell_length_b 3.362
_cell_length_c 8.151
_cell_angle_alpha 90.00
_cell_angle_beta 90.00
_cell_angle_gamma 90.00
_symmetry_space_group_name_H-M 'P 4 m m'
_symmetry_Int_Tables_number 99
_symmetry_space_group_name_Hall 'P 4 -2'
loop_
_atom_site_label
_atom_site_type_symbol
_atom_site_fract_x
_atom_site_fract_y
_atom_site_fract_z
Li1 Li 0.000 0.000 0.000
Y1 Y 0.000 0.000 0.387
Y2 Y 0.500 0.500 0.727
Si1 Si 0.500 0.500 0.140